The following is a DFT calculation (PBE-GGA) of a relaxed structure of KRu4Pb.

Cell: 5.3896 5.3896 5.3896 Å, 60.00 60.00 60.00°
Each line ends with the local moment (μB).
Element x y z (fractional)
1 K 0.7500 0.7500 0.7500  0.00
2 Ru 0.8777 0.3741 0.3741  0.92
3 Ru 0.3741 0.3741 0.8777  0.92
4 Ru 0.3741 0.8777 0.3741  0.92
5 Ru 0.3741 0.3741 0.3741  0.92
6 Pb 0.0000 0.0000 0.0000  -0.01

Values from the calculation:
VASP energy ... -0.4526 Ry/atom

The following is a DFT calculation (PBE-GGA) of a relaxed structure of KRu2Pb.

Cell: 4.3577 4.3577 7.9419 Å, 82.86 82.86 42.82°
Element x y z (fractional)
1 K 0.4952 0.4952 0.5347
2 Pb 0.2687 0.2687 0.1673
3 Ru 0.0021 0.0021 0.9416
4 Ru 0.7340 0.7340 0.8563

Values from the calculation:
VASP energy ... -0.3931 Ry/atom

The following is a DFT calculation (PBE-GGA) of a relaxed structure of KRu2Pb.

Cell: 6.3170 6.3170 6.3170 Å, 152.90 129.65 58.10°
Each line ends with the local moment (μB).
Element x y z (fractional)
1 K 0.4911 0.4911 0.0000  0.00
2 Pb 0.7879 0.2879 0.5000  -0.01
3 Ru 0.0201 0.0201 0.0000  0.39
4 Ru 0.2010 0.7010 0.5000  0.54

Values from the calculation:
VASP energy ... -0.3655 Ry/atom

The following is a DFT calculation (PBE-GGA) of a relaxed structure of KRu2Pb.

Cell: 3.0748 3.0748 9.7667 Å, 90.00 90.00 114.23°
Element x y z (fractional)
1 K 0.5000 0.5000 0.2500
2 Pb 0.5000 0.5000 0.7500
3 Ru 0.0000 0.0000 0.9663
4 Ru 0.0000 0.0000 0.5337

Values from the calculation:
VASP energy ... -0.3489 Ry/atom